Here is KSbRh3 at its PBEsol-relaxed geometry from Alexandria. Energies are from SCAN.

Results
The space-group type is Pm-3m, No. 221. For the total energy, the calculation gives -143.84 eV/f.u. The value obtained for the energy relative to the elements, uncorrected is 59.2 kJ per mole of atoms.

Lattice parameters (Å, degrees): 4.8716 4.8716 4.8716 90.00 90.00 90.00
Closest atoms and distances in Å follow each position.
Fractional coordinates of all 5 atoms:
1 K 0.0000 0.0000 0.0000  12 Rh 3.44
2 Sb 0.5000 0.5000 0.5000  6 Rh 2.44
3 Rh 0.0000 0.5000 0.5000  2 Sb 2.44
4 Rh 0.5000 0.0000 0.5000  2 Sb 2.44
5 Rh 0.5000 0.5000 0.0000  2 Sb 2.44


Here is KSbTe2Rh at its PBEsol-relaxed geometry from Alexandria. Energies are from SCAN.

Results
The space-group type is P4/mmm, No. 123. For the total energy, the calculation gives -145.35 eV/f.u. The value obtained for the energy relative to the elements, uncorrected is 164.2 kJ per mole of atoms.

Lattice parameters (Å, degrees): 5.6632 5.6632 5.4860 90.00 90.00 90.00
Closest atoms and distances in Å follow each position.
Fractional coordinates of all 5 atoms:
1 K 0.0000 0.0000 0.0000  2 Sb 2.74, 4 Te 2.83
2 Sb 0.0000 0.0000 0.5000  2 K 2.74
3 Te 0.0000 0.5000 0.0000  2 K 2.83
4 Te 0.5000 0.0000 0.0000  2 K 2.83
5 Rh 0.5000 0.5000 0.5000  8 Te 3.94, 4 Sb 4.00


Here is KScRh3 at its PBEsol-relaxed geometry from Alexandria. Energies are from SCAN.

Results
The space-group type is Pm-3m, No. 221. For the total energy, the calculation gives -115.61 eV/f.u. The calculation puts the formation enthalpy at 0 K at 1.6545 eV/atom.

Lattice parameters (Å, degrees): 4.5597 4.5597 4.5597 90.00 90.00 90.00
Closest atoms and distances in Å follow each position.
Fractional coordinates of all 5 atoms:
1 K 0.0000 0.0000 0.0000  6 Rh 2.28
2 Sc 0.5000 0.5000 0.5000  12 Rh 3.22
3 Rh 0.0000 0.0000 0.5000  2 K 2.28
4 Rh 0.0000 0.5000 0.0000  2 K 2.28
5 Rh 0.5000 0.0000 0.0000  2 K 2.28


Here is KScRh2 at its PBEsol-relaxed geometry from Alexandria. Energies are from SCAN.

Results
The space-group type is Pmm2, No. 25. For the total energy, the calculation gives -89.89 eV/f.u. The calculation puts the formation enthalpy at 0 K at 0.0540 eV/atom.

Lattice parameters (Å, degrees): 3.0303 3.7031 8.3524 90.00 90.00 90.00
Closest atoms and distances in Å follow each position.
Fractional coordinates of all 4 atoms:
1 K 0.0000 0.0000 0.0000  2 K 3.03, 4 Rh 3.39
2 Sc 0.5000 0.5000 0.5755  1 Rh 2.40
3 Rh 0.0000 0.0000 0.4147  4 Rh 2.62, 4 Sc 2.74
4 Rh 0.5000 0.5000 0.2881  1 Sc 2.40, 4 Rh 2.62


Here is KSiRh2 at its PBEsol-relaxed geometry from Alexandria. Energies are from SCAN.

Results
The space-group type is Pm, No. 6. For the total energy, the calculation gives -85.88 eV/f.u. The value obtained for the energy relative to the elements, uncorrected is 0.1 kJ per mole of atoms.

Lattice parameters (Å, degrees): 2.8660 4.2959 6.5821 90.00 101.58 90.00
Closest atoms and distances in Å follow each position.
Fractional coordinates of all 4 atoms:
1 K 0.0000 0.0000 0.0000  2 K 2.87, 1 Rh 3.11
2 Si 0.3495 0.5000 0.6733  4 Rh 2.31-2.48
3 Rh 0.2626 0.0000 0.4822  2 Si 2.48, 4 Rh 2.64-2.65
4 Rh 0.7200 0.5000 0.3926  2 Si 2.31


Here is K2Sn2Rh at its PBEsol-relaxed geometry from Alexandria. Energies are from SCAN.

Results
The space-group type is I4/mmm, No. 139. For the total energy, the calculation gives -119.88 eV/f.u. The calculation puts the formation enthalpy at 0 K at 0.4781 eV/atom.

Lattice parameters (Å, degrees): 8.5592 8.5592 8.5592 154.23 154.23 36.77
Closest atoms and distances in Å follow each position.
Fractional coordinates of all 5 atoms:
1 K 0.2500 0.7500 0.5000  4 K 2.70
2 K 0.7500 0.2500 0.5000  4 K 2.70
3 Sn 0.0833 0.0833 0.0000  1 Sn 2.71, 4 Rh 3.02
4 Sn 0.9167 0.9167 0.0000  1 Sn 2.71, 4 Rh 3.02
5 Rh 0.5000 0.5000 0.0000  8 Sn 3.02


Here is KSrRh2 at its PBEsol-relaxed geometry from Alexandria. Energies are from SCAN.

Results
The space-group type is C2/m, No. 12. For the total energy, the calculation gives -97.23 eV/f.u. The calculation puts the formation enthalpy at 0 K at 0.2299 eV/atom.

Lattice parameters (Å, degrees): 5.7179 5.7179 7.1624 122.68 122.68 44.59
Closest atoms and distances in Å follow each position.
Fractional coordinates of all 4 atoms:
1 K 0.0000 0.0000 0.0000  6 Rh 3.29-3.43
2 Sr 0.5000 0.5000 0.5000  6 Rh 2.92-3.25
3 Rh 0.2513 0.2513 0.5641  2 Rh 2.35
4 Rh 0.7487 0.7487 0.4359  2 Rh 2.35


Here is KTaRh at its PBEsol-relaxed geometry from Alexandria. Energies are from SCAN.

Results
The space-group type is F-43m, No. 216. For the total energy, the calculation gives -101.04 eV/f.u. The calculation puts the formation enthalpy at 0 K at 2.5463 eV/atom. Its energy above the most stable polymorph in this dataset is 2.029 eV per atom.

Lattice parameters (Å, degrees): 4.3885 4.3885 4.3885 60.00 60.00 60.00
Closest atoms and distances in Å follow each position.
Fractional coordinates of all 3 atoms:
1 K 0.0000 0.0000 0.0000  4 Ta 2.69, 4 Rh 2.69
2 Ta 0.7500 0.7500 0.7500  4 K 2.69
3 Rh 0.2500 0.2500 0.2500  4 K 2.69